Entry 1:
First-principles (GGA-PBE) data for Pm8BeS3Br4 after structural relaxation, as listed in the Alexandria database.

As for the formation energy without anion corrections: -1.359 eV/atom. As for the energy: -5.16 eV per atom.

The space group is R-3m (No. 166, hexagonal axes) and the conventional cell measures 8.1660, 8.1660 and 21.8076 Å, with angles of 90.00, 90.00 and 120.00 degrees. The inequivalent atoms are Pm at (0.0000, 0.0000, 0.2320), Pm at (0.0070, 0.5035, 0.2332), Be at (0.0000, 0.0000, 0.5000), S at (0.0000, 0.5000, 0.5000), Br at (0.0000, 0.0000, 0.0000) and Br at (0.0000, 0.5000, 0.0000).


Entry 2:
First-principles (GGA-PBE) data for As2PIrSe after structural relaxation, as listed in the Alexandria database.

As for the formation energy without anion corrections: 0.857 eV/atom. The value obtained for the distance to the lowest polymorph of the same formula is 0 meV/atom. As for the energy: -4.55 eV per atom.

The space group is P4/mmm (No. 123) and the conventional cell measures 4.691, 4.691 and 5.188 Å, with angles of 90.00, 90.00 and 90.00 degrees. The inequivalent atoms are As at (0.000, 0.500, 0.000), P at (0.000, 0.000, 0.500), Ir at (0.500, 0.500, 0.000) and Se at (0.500, 0.500, 0.500).


Entry 3:
First-principles (GGA-PBE) data for NaCaLa after structural relaxation, as listed in the Alexandria database.

The formation energy comes out at 0.034 eV/atom. The value obtained for the distance to the lowest polymorph of the same formula is 0 meV/atom. As for the energy: -2.72 eV per atom.

The space group is P4/nmm (No. 129, origin choice 2) and the conventional cell measures 3.764, 3.764 and 16.404 Å, with angles of 90.00, 90.00 and 90.00 degrees. The inequivalent atoms are Na at (0.250, 0.250, 0.079), Ca at (0.250, 0.250, 0.750) and La at (0.250, 0.250, 0.424).